A geometry-optimized Th5Cu structure. Source: the Alexandria database, functional PBE-GGA.

The calculation puts the calculated formation energy at 50 meV per atom. The spin magnetization is 0.000 μB/atom. As for the crystal system: orthorhombic.

The structure belongs to space group Cmmm (No. 65); the cell edges are 5.830, 16.858 and 3.570 Å and the angles 90.00°, 90.00° and 90.00°. The asymmetric unit holds Th at (0.000, 0.000, 0.000), Th at (0.000, 0.181, 0.500), Th at (0.000, 0.361, 0.000) and Cu at (0.000, 0.500, 0.500).


A geometry-optimized TbNdTm2Se4 structure. Source: the Alexandria database, functional PBE-GGA.

The formation energy without anion corrections is -1.734 eV per atom. The spin magnetization is 0.000 μB/atom. As for the crystal system: monoclinic.

The structure belongs to space group P2/m (No. 10); the cell edges are 7.015, 4.018 and 7.251 Å and the angles 90.00°, 108.57° and 90.00°. The asymmetric unit holds Tb at (0.000, 0.000, 0.000), Nd at (0.500, 0.500, 0.000), Tm at (0.000, 0.500, 0.500), Tm at (0.500, 0.000, 0.500), Se at (0.240, 0.000, 0.734) and Se at (0.250, 0.500, 0.263).


A geometry-optimized Rb2CdNi2 structure. Source: the Alexandria database, functional PBE-GGA.

The calculation puts the calculated formation energy at 479 meV per atom. The spin magnetization is 0.234 μB/atom. As for the crystal system: tetragonal. Its energy above the lowest structure with this stoichiometry is 0 meV per atom.

The structure belongs to space group I4/mmm (No. 139); the cell edges are 3.432, 3.432 and 23.834 Å and the angles 90.00°, 90.00° and 90.00°. The asymmetric unit holds Rb at (0.000, 0.000, 0.130), Cd at (0.000, 0.000, 0.500) and Ni at (0.000, 0.500, 0.250).


A geometry-optimized Sc2PbO structure. Source: the Alexandria database, functional PBE-GGA.

The formation energy without anion corrections is -1.022 eV per atom. The spin magnetization is 0.346 μB/atom. As for the crystal system: tetragonal. Its energy above the lowest structure with this stoichiometry is 697 meV per atom.

The structure belongs to space group P4/mmm (No. 123); the cell edges are 3.049, 3.049 and 7.439 Å and the angles 90.00°, 90.00° and 90.00°. The asymmetric unit holds Sc at (0.000, 0.000, 0.186), Pb at (0.500, 0.500, 0.500) and O at (0.500, 0.500, 0.000).


A geometry-optimized Ag2AsS structure. Source: the Alexandria database, functional PBE-GGA.

The formation energy without anion corrections is 0.403 eV per atom. The spin magnetization is 0.000 μB/atom. As for the crystal system: cubic. Its energy above the lowest structure with this stoichiometry is 297 meV per atom.

The structure belongs to space group Fm-3m (No. 225); the cell edges are 6.654, 6.654 and 6.654 Å and the angles 90.00°, 90.00° and 90.00°. The asymmetric unit holds Ag at (0.250, 0.250, 0.250), As at (0.000, 0.000, 0.000) and S at (0.000, 0.000, 0.500).


A geometry-optimized ErGa2Cu4 structure. Source: the Alexandria database, functional PBE-GGA.

The calculation puts the calculated formation energy at -274 meV per atom. The spin magnetization is 0.000 μB/atom. As for the crystal system: tetragonal.

The structure belongs to space group P4_2/mnm (No. 136); the cell edges are 7.281, 7.281 and 4.044 Å and the angles 90.00°, 90.00° and 90.00°. The asymmetric unit holds Er at (0.000, 0.000, 0.000), Ga at (0.211, 0.211, 0.500) and Cu at (0.098, 0.645, 0.500).


A geometry-optimized Ba4S3F structure. Source: the Alexandria database, functional PBE-GGA.

The formation energy without anion corrections is -2.178 eV per atom. The spin magnetization is 0.000 μB/atom. As for the crystal system: cubic.

The structure belongs to space group Pm-3m (No. 221); the cell edges are 6.319, 6.319 and 6.319 Å and the angles 90.00°, 90.00° and 90.00°. The asymmetric unit holds Ba at (0.000, 0.000, 0.000), Ba at (0.000, 0.500, 0.500), S at (0.000, 0.000, 0.500) and F at (0.500, 0.500, 0.500).


A geometry-optimized ZrPbAu2 structure. Source: the Alexandria database, functional PBE-GGA.

The calculation puts the calculated formation energy at -28 meV per atom. The spin magnetization is 0.000 μB/atom. As for the crystal system: trigonal.

The structure belongs to space group R3m (No. 160, hexagonal axes); the cell edges are 3.4070, 3.4070 and 26.9481 Å and the angles 90.00°, 90.00° and 120.00°. The asymmetric unit holds Zr at (0.0000, 0.0000, 0.0000), Pb at (0.0000, 0.0000, 0.2385), Au at (0.0000, 0.0000, 0.4869) and Au at (0.0000, 0.0000, 0.7427).


A geometry-optimized Tb4Pr3Y5 structure. Source: the Alexandria database, functional PBE-GGA.

The calculation puts the calculated formation energy at 17 meV per atom. The spin magnetization is 0.000 μB/atom. As for the crystal system: triclinic. Its energy above the lowest structure with this stoichiometry is 0 meV per atom.

The structure belongs to space group P-1 (No. 2); the cell edges are 6.237, 7.205 and 8.828 Å and the angles 89.99°, 89.86° and 89.79°. The asymmetric unit holds Tb at (0.166, 0.000, 0.334), Tb at (0.332, 0.752, 0.667), Pr at (0.334, 0.248, 0.666), Pr at (0.500, 0.500, 0.000), Y at (0.001, 0.751, 0.000), Y at (0.166, 0.500, 0.333) and Y at (0.500, 0.000, 0.000).


A geometry-optimized NaMg9Cd3 structure. Source: the Alexandria database, functional PBE-GGA.

The calculation puts the calculated formation energy at -23 meV per atom. The spin magnetization is 0.000 μB/atom. As for the crystal system: monoclinic.

The structure belongs to space group C2/m (No. 12); the cell edges are 5.868, 14.540 and 7.800 Å and the angles 90.00°, 111.03° and 90.00°. The asymmetric unit holds Na at (0.000, 0.000, 0.000), Mg at (0.000, 0.000, 0.500), Mg at (0.103, 0.391, 0.218), Mg at (0.169, 0.177, 0.349), Cd at (0.000, 0.500, 0.500) and Cd at (0.250, 0.250, 0.000).


A geometry-optimized Co2SiHg structure. Source: the Alexandria database, functional PBE-GGA.

The formation energy without anion corrections is 0.370 eV per atom. The spin magnetization is 0.542 μB/atom. As for the crystal system: tetragonal. Its energy above the lowest structure with this stoichiometry is 468 meV per atom.

The structure belongs to space group I-4m2 (No. 119); the cell edges are 3.689, 3.689 and 8.038 Å and the angles 90.00°, 90.00° and 90.00°. The asymmetric unit holds Co at (0.000, 0.000, 0.000), Co at (0.000, 0.500, 0.250), Si at (0.000, 0.000, 0.500) and Hg at (0.000, 0.500, 0.750).


A geometry-optimized Ba2SmMnTe5 structure. Source: the Alexandria database, functional PBE-GGA.

The formation energy without anion corrections is -1.220 eV per atom. The spin magnetization is 0.444 μB/atom. As for the crystal system: orthorhombic.

The structure belongs to space group Cmc2_1 (No. 36); the cell edges are 4.601, 20.108 and 14.272 Å and the angles 90.00°, 90.00° and 90.00°. The asymmetric unit holds Ba at (0.000, 0.119, 0.000), Ba at (0.000, 0.127, 0.356), Sm at (0.000, 0.196, 0.691), Mn at (0.000, 0.438, 0.085), Te at (0.000, 0.035, 0.675), Te at (0.000, 0.307, 0.338), Te at (0.000, 0.309, 0.034), Te at (0.000, 0.348, 0.676) and Te at (0.000, 0.498, 0.923).


A geometry-optimized Cr2WSe structure. Source: the Alexandria database, functional PBE-GGA.

The formation energy without anion corrections is 0.420 eV per atom. The spin magnetization is 0.742 μB/atom. As for the crystal system: orthorhombic.

The structure belongs to space group Cmmm (No. 65); the cell edges are 3.187, 4.699 and 7.925 Å and the angles 90.00°, 90.00° and 90.00°. The asymmetric unit holds Cr at (0.000, 0.000, 0.249), W at (0.000, 0.500, 0.000) and Se at (0.000, 0.500, 0.500).


A geometry-optimized PmSm2H structure. Source: the Alexandria database, functional PBE-GGA.

The spin magnetization is 0.000 μB/atom. As for the crystal system: trigonal. Its energy above the lowest structure with this stoichiometry is 0 meV per atom.

The structure belongs to space group R-3m (No. 166, hexagonal axes); the cell edges are 3.6862, 3.6862 and 26.1564 Å and the angles 90.00°, 90.00° and 120.00°. The asymmetric unit holds Pm at (0.0000, 0.0000, 0.0000), Sm at (0.0000, 0.0000, 0.2209) and H at (0.0000, 0.0000, 0.5000).


A geometry-optimized Cd2BiW structure. Source: the Alexandria database, functional PBE-GGA.

The calculation puts the calculated formation energy at 996 meV per atom. The spin magnetization is 0.256 μB/atom. As for the crystal system: tetragonal. Its energy above the lowest structure with this stoichiometry is 0 meV per atom.

The structure belongs to space group I-42d (No. 122); the cell edges are 8.500, 8.500 and 5.512 Å and the angles 90.00°, 90.00° and 90.00°. The asymmetric unit holds Cd at (0.207, 0.750, 0.125), Bi at (0.000, 0.000, 0.500) and W at (0.000, 0.000, 0.000).


A geometry-optimized LaTb6Nd3Y2 structure. Source: the Alexandria database, functional PBE-GGA.

The calculation puts the calculated formation energy at 17 meV per atom. The spin magnetization is 0.000 μB/atom. As for the crystal system: monoclinic.

The structure belongs to space group C2/m (No. 12); the cell edges are 6.256, 10.833 and 11.960 Å and the angles 90.00°, 100.01° and 90.00°. The asymmetric unit holds La at (0.000, 0.000, 0.000), Tb at (0.249, 0.500, 0.250), Tb at (0.250, 0.167, 0.250), Nd at (0.000, 0.167, 0.500), Nd at (0.000, 0.500, 0.500) and Y at (0.000, 0.333, 0.000).


A geometry-optimized BeTePd structure. Source: the Alexandria database, functional PBE-GGA.

The formation energy without anion corrections is -0.038 eV per atom. The spin magnetization is 0.000 μB/atom. As for the crystal system: orthorhombic.

The structure belongs to space group Pnma (No. 62); the cell edges are 5.515, 7.928 and 4.803 Å and the angles 90.00°, 90.00° and 90.00°. The asymmetric unit holds Be at (0.191, 0.250, 0.156), Te at (0.000, 0.000, 0.500) and Pd at (0.166, 0.750, 0.136).


A geometry-optimized LaSn2Sb structure. Source: the Alexandria database, functional PBE-GGA.

The formation energy without anion corrections is -0.600 eV per atom. The spin magnetization is 0.000 μB/atom. As for the crystal system: tetragonal.

The structure belongs to space group P4/mmm (No. 123); the cell edges are 4.725, 4.725 and 5.009 Å and the angles 90.00°, 90.00° and 90.00°. The asymmetric unit holds La at (0.000, 0.000, 0.000), Sn at (0.000, 0.500, 0.500) and Sb at (0.500, 0.500, 0.000).


A geometry-optimized Li6AgBr8 structure. Source: the Alexandria database, functional PBE-GGA.

The formation energy without anion corrections is -1.244 eV per atom. The spin magnetization is 0.029 μB/atom. As for the crystal system: cubic.

The structure belongs to space group Fm-3m (No. 225); the cell edges are 11.056, 11.056 and 11.056 Å and the angles 90.00°, 90.00° and 90.00°. The asymmetric unit holds Li at (0.000, 0.250, 0.250), Ag at (0.000, 0.000, 0.000), Br at (0.000, 0.000, 0.251) and Br at (0.250, 0.250, 0.250).


A geometry-optimized Cs2SnBr6 structure. Source: the Alexandria database, functional PBE-GGA.

The formation energy without anion corrections is -1.241 eV per atom. The spin magnetization is 0.000 μB/atom. As for the crystal system: cubic.

The structure belongs to space group Fm-3m (No. 225); the cell edges are 11.226, 11.226 and 11.226 Å and the angles 90.00°, 90.00° and 90.00°. The asymmetric unit holds Cs at (0.250, 0.250, 0.250), Sn at (0.000, 0.000, 0.000) and Br at (0.000, 0.000, 0.237).